No. 1
Computed, not measured: a relaxed LiPm2TmHg4 crystal at the PBE-GGA level of DFT.

a b c (Å): 5.2140 5.2140 9.0997
angles (deg): 73.35 73.35 60.00
Sites, in units of the cell vectors:
Li1 0.5000 0.5000 0.5000
Pm1 0.7540 0.7540 0.7380
Pm2 0.2460 0.2460 0.2620
Tm1 0.0000 0.0000 0.0000
Hg1 0.3739 0.3739 0.8782
Hg2 0.8751 0.8751 0.3746
Hg3 0.1249 0.1249 0.6254
Hg4 0.6261 0.6261 0.1218

Results
theoretical density: 10.4 g cm⁻³
magnetic moment: 0.000 μB per cell
E_form: -460 meV/atom

---

No. 2
Computed, not measured: a relaxed LiPmY2Hg4 crystal at the PBE-GGA level of DFT.

a b c (Å): 5.1429 5.1429 9.2480
angles (deg): 73.86 73.86 60.00
Sites, in units of the cell vectors:
Li1 0.5000 0.5000 0.5000
Pm1 0.0000 0.0000 0.0000
Y1 0.7569 0.7569 0.7293
Y2 0.2431 0.2431 0.2707
Hg1 0.3820 0.3820 0.8539
Hg2 0.8736 0.8736 0.3792
Hg3 0.1264 0.1264 0.6208
Hg4 0.6180 0.6180 0.1461

Results
theoretical density: 9.4 g cm⁻³
magnetic moment: 0.000 μB per cell
E_form: -456 meV/atom

---

No. 3
Computed, not measured: a relaxed LiPm2YHg4 crystal at the PBE-GGA level of DFT.

a b c (Å): 5.2300 5.2300 9.1544
angles (deg): 73.40 73.40 60.00
Sites, in units of the cell vectors:
Li1 0.5000 0.5000 0.5000
Pm1 0.7545 0.7545 0.7364
Pm2 0.2455 0.2455 0.2636
Y1 0.0000 0.0000 0.0000
Hg1 0.3748 0.3748 0.8756
Hg2 0.8748 0.8748 0.3756
Hg3 0.1252 0.1252 0.6244
Hg4 0.6252 0.6252 0.1244

Results
theoretical density: 9.6 g cm⁻³
magnetic moment: 0.000 μB per cell
E_form: -465 meV/atom